A geometry-optimized LaNd5Tl4 structure, computed with GGA-PBE.

```
LaNd5Tl4
1.0
3.685 0.000 0.000
0.000 3.685 0.000
0.000 0.000 22.799
Nd Tl La
5 4 1
direct
0.500 0.500 0.116 Nd
0.500 0.500 0.500 Nd
0.500 0.500 0.308 Nd
0.500 0.500 0.884 Nd
0.500 0.500 0.692 Nd
0.000 0.000 0.596 Tl
0.000 0.000 0.404 Tl
0.000 0.000 0.211 Tl
0.000 0.000 0.789 Tl
0.000 0.000 0.000 La
```

Values from the calculation:
Formation energy (eV per atom): -0.31
SG: P4/mmm (123)
Mass density (g/cm³): 9.0
VASP energy (eV per atom): -4.13
Spin magnetization (μB per formula unit): 0.00
E above lowest polymorph (eV per atom): 0.000